Record 1
Pm3Si2Rh5 | GGA-PBE | relaxed

Unit cell a=10.1537 b=10.1537 c=3.6014 alpha=90.00 beta=90.00 gamma=90.00
Space group P4/mbm (No. 127)
Unique sites:
Pm 0.0000 0.0000 0.0000 x2
Pm 0.1744 0.3256 0.0000 x4
Si 0.1209 0.6209 0.0000 x4
Rh 0.0000 0.5000 0.5000 x2
Rh 0.0704 0.7735 0.5000 x8

Calculated values
Size of the total moment ... 0.0 μB per cell
Uncorrected energy ... -141.6 eV/cell


Record 2
Tm3Cd | GGA-PBE | relaxed

Unit cell a=4.7846 b=4.7846 c=4.7846 alpha=90.00 beta=90.00 gamma=90.00
Space group Pm-3m (No. 221)
Unique sites:
Tm 0.0000 0.0000 0.5000 x3
Cd 0.5000 0.5000 0.5000 x1

Calculated values
Size of the total moment ... 0.0 μB per cell
Excess energy over the best structure of this formula in the dataset ... 1.24 kcal/mol of atoms
Uncorrected energy ... -14.7 eV/cell


Record 3
Tb4ZnSi3 | GGA-PBE | relaxed

Unit cell a=3.9432 b=4.2585 c=10.7732 alpha=90.00 beta=90.00 gamma=90.00
Space group Pmm2 (No. 25)
Unique sites:
Tb 0.0000 0.0000 0.0000 x1
Tb 0.0000 0.5000 0.4937 x1
Tb 0.5000 0.0000 0.7129 x1
Tb 0.5000 0.5000 0.2161 x1
Zn 0.0000 0.5000 0.7864 x1
Si 0.0000 0.0000 0.2810 x1
Si 0.5000 0.0000 0.4275 x1
Si 0.5000 0.5000 0.9333 x1

Calculated values
Size of the total moment ... 0.1 μB per cell
Uncorrected energy ... -41.6 eV/cell


Record 4
Li2MnW | GGA-PBE | relaxed

Unit cell a=4.6688 b=4.6688 c=2.6032 alpha=90.00 beta=90.00 gamma=90.00
Space group P4/mmm (No. 123)
Unique sites:
Li 0.0000 0.5000 0.0000 x2
Mn 0.0000 0.0000 0.5000 x1
W 0.5000 0.5000 0.5000 x1

Calculated values
Size of the total moment ... 3.2 μB per cell
Excess energy over the best structure of this formula in the dataset ... 11.37 kcal/mol of atoms
Uncorrected energy ... -22.8 eV/cell


Record 5
Pm2As3PtRh4 | GGA-PBE | relaxed

Unit cell a=4.1893 b=4.1893 c=10.5501 alpha=90.00 beta=90.00 gamma=90.00
Space group P-4m2 (No. 115)
Unique sites:
Pm 0.0000 0.5000 0.2384 x2
As 0.0000 0.0000 0.0000 x1
As 0.0000 0.5000 0.6309 x2
Pt 0.5000 0.5000 0.0000 x1
Rh 0.0000 0.0000 0.5000 x1
Rh 0.0000 0.5000 0.8537 x2
Rh 0.5000 0.5000 0.5000 x1

Calculated values
Size of the total moment ... 0.0 μB per cell
Uncorrected energy ... -67.1 eV/cell


Record 6
Ti2CuPb | GGA-PBE | relaxed

Unit cell a=3.4597 b=3.4597 c=5.9270 alpha=90.00 beta=90.00 gamma=90.00
Space group P4/mmm (No. 123)
Unique sites:
Ti 0.0000 0.0000 0.2205 x2
Cu 0.5000 0.5000 0.0000 x1
Pb 0.5000 0.5000 0.5000 x1

Calculated values
Size of the total moment ... 0.0 μB per cell
Uncorrected energy ... -23.2 eV/cell


Record 7
CaPmYSc | GGA-PBE | relaxed

Unit cell a=8.0087 b=8.0087 c=8.0087 alpha=90.00 beta=90.00 gamma=90.00
Space group F-43m (No. 216)
Unique sites:
Ca 0.0000 0.0000 0.0000 x4
Pm 0.2500 0.2500 0.7500 x4
Y 0.2500 0.2500 0.2500 x4
Sc 0.0000 0.0000 0.5000 x4

Calculated values
Size of the total moment ... 0.0 μB per cell
Uncorrected energy ... -75.8 eV/cell


Record 8
Tb5Sm3Mg2 | GGA-PBE | relaxed

Unit cell a=11.7390 b=16.0296 c=6.5977 alpha=90.00 beta=92.84 gamma=90.00
Space group C2/c (No. 15)
Unique sites:
Tb 0.0000 0.0333 0.2500 x4
Tb 0.1361 0.1556 0.6119 x8
Tb 0.2493 0.0423 0.0075 x8
Sm 0.0000 0.4576 0.2500 x4
Sm 0.1201 0.2504 0.1013 x8
Mg 0.1151 0.3532 0.6337 x8

Calculated values
Size of the total moment ... 0.0 μB per cell
Uncorrected energy ... -161.4 eV/cell


Record 9
BaW2Au | GGA-PBE | relaxed

Unit cell a=9.0521 b=3.2409 c=6.9910 alpha=90.00 beta=101.03 gamma=90.00
Space group Cm (No. 8)
Unique sites:
Ba 0.0000 0.0000 0.0000 x2
W 0.9999 0.5000 0.4755 x2
W 0.2902 0.5000 0.3689 x2
Au 0.2327 0.0000 0.6751 x2

Calculated values
Size of the total moment ... 0.0 μB per cell
Excess energy over the best structure of this formula in the dataset ... 6.03 kcal/mol of atoms
Uncorrected energy ... -56.0 eV/cell


Record 10
Dy4CdBi | GGA-PBE | relaxed

Unit cell a=5.6441 b=21.1689 c=6.4618 alpha=90.00 beta=90.00 gamma=90.00
Space group Cmcm (No. 63)
Unique sites:
Dy 0.0000 0.0631 0.2500 x4
Dy 0.0000 0.2077 0.0024 x8
Dy 0.0000 0.3693 0.2500 x4
Cd 0.0000 0.0777 0.7500 x4
Bi 0.0000 0.3495 0.7500 x4

Calculated values
Size of the total moment ... 1.9 μB per cell
Excess energy over the best structure of this formula in the dataset ... 4.61 kcal/mol of atoms
Uncorrected energy ... -96.6 eV/cell


Record 11
TlInBi2Se | GGA-PBE | relaxed

Unit cell a=5.7712 b=5.7712 c=5.7299 alpha=90.00 beta=90.00 gamma=90.00
Space group P4/mmm (No. 123)
Unique sites:
Tl 0.0000 0.0000 0.0000 x1
In 0.0000 0.0000 0.5000 x1
Bi 0.0000 0.5000 0.5000 x2
Se 0.5000 0.5000 0.0000 x1

Calculated values
Size of the total moment ... 0.0 μB per cell
Uncorrected energy ... -13.4 eV/cell


Record 12
MgAu | GGA-PBE | relaxed

Unit cell a=7.3557 b=8.1392 c=10.7730 alpha=90.00 beta=90.00 gamma=90.00
Space group Fddd (No. 70, origin choice 2)
Unique sites:
Mg 0.1250 0.3214 0.1250 x16
Au 0.0676 0.3750 0.8750 x16

Calculated values
Size of the total moment ... 0.0 μB per cell
Uncorrected energy ... -92.0 eV/cell